First-principles (PBE-GGA) data for DyY3H8 after structural relaxation, as listed in Alexandria.

It has space group Pm-3m (No. 221), with a = 5.187 Å, b = 5.187 Å, c = 5.187 Å, α = 90.00°, β = 90.00° and γ = 90.00°. The inequivalent atoms are Dy at (0.000, 0.000, 0.000), Y at (0.000, 0.500, 0.500) and H at (0.249, 0.249, 0.249).

For the total energy, the calculation gives -4.962 eV/atom. The total magnetization is 0.00 Bohr magnetons per cell.

First-principles (PBE-GGA) data for DyY2H8 after structural relaxation, as listed in Alexandria.

It has space group Immm (No. 71), with a = 3.637 Å, b = 5.155 Å, c = 10.913 Å, α = 90.00°, β = 90.00° and γ = 90.00°. The inequivalent atoms are Dy at (0.000, 0.000, 0.000), Y at (0.000, 0.000, 0.332), H at (0.000, 0.231, 0.500), H at (0.000, 0.260, 0.161) and H at (0.000, 0.500, 0.342).

For the total energy, the calculation gives -4.658 eV/atom. The total magnetization is 0.00 Bohr magnetons per cell.

First-principles (PBE-GGA) data for DyYH4 after structural relaxation, as listed in Alexandria.

It has space group I4_1/amd (No. 141, origin choice 2), with a = 5.172 Å, b = 5.172 Å, c = 10.437 Å, α = 90.00°, β = 90.00° and γ = 90.00°. The inequivalent atoms are Dy at (0.000, 0.250, 0.375), Y at (0.000, 0.250, 0.875) and H at (0.249, 0.000, 0.500).

For the total energy, the calculation gives -4.793 eV/atom. The total magnetization is 0.00 Bohr magnetons per cell.

First-principles (PBE-GGA) data for Dy3YH after structural relaxation, as listed in Alexandria.

It has space group Pm-3m (No. 221), with a = 4.992 Å, b = 4.992 Å, c = 4.992 Å, α = 90.00°, β = 90.00° and γ = 90.00°. The inequivalent atoms are Dy at (0.000, 0.000, 0.500), Y at (0.500, 0.500, 0.500) and H at (0.000, 0.000, 0.000).

For the total energy, the calculation gives -4.887 eV/atom. The total magnetization is 0.00 Bohr magnetons per cell.

First-principles (PBE-GGA) data for Dy4Y2H after structural relaxation, as listed in Alexandria.

It has space group I4/mmm (No. 139), with a = 4.839 Å, b = 4.839 Å, c = 17.126 Å, α = 90.00°, β = 90.00° and γ = 90.00°. The inequivalent atoms are Dy at (0.000, 0.000, 0.147), Dy at (0.000, 0.500, 0.000), Y at (0.000, 0.000, 0.350) and H at (0.000, 0.000, 0.000).

For the total energy, the calculation gives -4.890 eV/atom. The total magnetization is 0.00 Bohr magnetons per cell.

First-principles (PBE-GGA) data for Dy12Zn3H5 after structural relaxation, as listed in Alexandria.

It has space group Ia-3d (No. 230), with a = 15.242 Å, b = 15.242 Å, c = 15.242 Å, α = 90.00°, β = 90.00° and γ = 90.00°. The inequivalent atoms are Dy at (0.039, 0.057, 0.652), Zn at (0.000, 0.250, 0.125), H at (0.000, 0.000, 0.000) and H at (0.000, 0.250, 0.375).

For the total energy, the calculation gives -4.020 eV/atom. The total magnetization is 0.00 Bohr magnetons per cell.

First-principles (PBE-GGA) data for Dy3ZrH after structural relaxation, as listed in Alexandria.

It has space group Pm-3m (No. 221), with a = 4.861 Å, b = 4.861 Å, c = 4.861 Å, α = 90.00°, β = 90.00° and γ = 90.00°. The inequivalent atoms are Dy at (0.000, 0.000, 0.500), Zr at (0.500, 0.500, 0.500) and H at (0.000, 0.000, 0.000).

For the total energy, the calculation gives -5.237 eV/atom. The total magnetization is 0.00 Bohr magnetons per cell.

First-principles (PBE-GGA) data for Dy2ZrH after structural relaxation, as listed in Alexandria.

It has space group R-3m (No. 166, hexagonal axes), with a = 3.3291 Å, b = 3.3291 Å, c = 27.2481 Å, α = 90.00°, β = 90.00° and γ = 120.00°. The inequivalent atoms are Dy at (0.0000, 0.0000, 0.1160), Zr at (0.0000, 0.0000, 0.0000) and H at (0.0000, 0.0000, 0.5000).

For the total energy, the calculation gives -5.169 eV/atom. The total magnetization is 0.00 Bohr magnetons per cell.

First-principles (PBE-GGA) data for DyZr2H after structural relaxation, as listed in Alexandria.

It has space group R-3m (No. 166, hexagonal axes), with a = 3.2060 Å, b = 3.2060 Å, c = 26.5457 Å, α = 90.00°, β = 90.00° and γ = 120.00°. The inequivalent atoms are Dy at (0.0000, 0.0000, 0.0000), Zr at (0.0000, 0.0000, 0.1165) and H at (0.0000, 0.0000, 0.5000).

For the total energy, the calculation gives -6.180 eV/atom. The total magnetization is 0.00 Bohr magnetons per cell.

First-principles (PBE-GGA) data for DyZr2H8 after structural relaxation, as listed in Alexandria.

It has space group Immm (No. 71), with a = 3.240 Å, b = 5.663 Å, c = 9.811 Å, α = 90.00°, β = 90.00° and γ = 90.00°. The inequivalent atoms are Dy at (0.000, 0.000, 0.000), Zr at (0.000, 0.000, 0.327), H at (0.000, 0.220, 0.500), H at (0.000, 0.265, 0.164) and H at (0.000, 0.500, 0.324).

For the total energy, the calculation gives -4.841 eV/atom. The total magnetization is 0.00 Bohr magnetons per cell.

First-principles (PBE-GGA) data for DyZrH after structural relaxation, as listed in Alexandria.

It has space group P3m1 (No. 156), with a = 3.4076 Å, b = 3.4076 Å, c = 5.4152 Å, α = 90.00°, β = 90.00° and γ = 120.00°. The inequivalent atoms are Dy at (0.0000, 0.0000, 0.0000), Zr at (0.6667, 0.3333, 0.4947) and H at (0.3333, 0.6667, 0.7065).

For the total energy, the calculation gives -5.664 eV/atom. The total magnetization is 0.00 Bohr magnetons per cell.

First-principles (PBE-GGA) data for Dy2ZrH after structural relaxation, as listed in Alexandria.

It has space group P4/mmm (No. 123), with a = 3.257 Å, b = 3.257 Å, c = 8.054 Å, α = 90.00°, β = 90.00° and γ = 90.00°. The inequivalent atoms are Dy at (0.000, 0.000, 0.207), Zr at (0.500, 0.500, 0.500) and H at (0.500, 0.500, 0.000).

For the total energy, the calculation gives -5.177 eV/atom. The total magnetization is 0.00 Bohr magnetons per cell.